First-principles (meta-GGA SCAN) data for La2Ni2I at its PBEsol-relaxed geometry, as listed in Alexandria via LeMat-Bulk.

Geometry as POSCAR:
```
La2Ni2I
1.0
4.0604 0.0000 0.0000
-2.0302 3.5164 0.0000
0.0000 0.0000 17.3676
La Ni I
4 4 2
direct
0.0000 0.0000 0.1055
0.0000 0.0000 0.3945
0.0000 0.0000 0.6055
0.0000 0.0000 0.8945
0.3333 0.6667 0.0005
0.3333 0.6667 0.4995
0.6667 0.3333 0.5005
0.6667 0.3333 0.9995
0.3333 0.6667 0.2500
0.6667 0.3333 0.7500
```

The value obtained for the spin magnetization is 0.00 μB/f.u. Its density is 7.0 g cm⁻³. As for the space group: P6_3/mmc, No. 194. As for the uncorrected formation energy: -3.88 eV per formula unit.

---

First-principles (meta-GGA SCAN) data for LaNiSbI2 at its PBEsol-relaxed geometry, as listed in Alexandria via LeMat-Bulk.

Geometry as POSCAR:
```
LaNiSbI2
1.0
5.0603 0.0000 0.0000
0.0000 5.0603 0.0000
0.0000 0.0000 5.3031
La Ni Sb I
1 1 1 2
direct
0.0000 0.0000 0.0000
0.5000 0.5000 0.5000
0.5000 0.5000 0.0000
0.0000 0.5000 0.5000
0.5000 0.0000 0.5000
```

The value obtained for the spin magnetization is 0.00 μB/f.u. Its density is 7.0 g cm⁻³. As for the space group: P4/mmm, No. 123. As for the uncorrected formation energy: -2.04 eV per formula unit.

---

First-principles (meta-GGA SCAN) data for La2NiSeI at its PBEsol-relaxed geometry, as listed in Alexandria via LeMat-Bulk.

Geometry as POSCAR:
```
La2NiSeI
1.0
5.8694 0.0000 0.0000
0.0000 5.8694 0.0000
0.0000 0.0000 4.4388
La Ni Se I
2 1 1 1
direct
0.0000 0.5000 0.0000
0.5000 0.0000 0.0000
0.0000 0.0000 0.5000
0.5000 0.5000 0.5000
0.0000 0.0000 0.0000
```

The value obtained for the spin magnetization is 0.00 μB/f.u. Its density is 5.9 g cm⁻³. As for the space group: P4/mmm, No. 123. As for the uncorrected formation energy: -1.36 eV per formula unit.

---

First-principles (meta-GGA SCAN) data for La2IO2 at its PBEsol-relaxed geometry, as listed in Alexandria via LeMat-Bulk.

Geometry as POSCAR:
```
La2IO2
1.0
-2.0943 2.0943 6.2842
2.0943 -2.0943 6.2842
2.0943 2.0943 -6.2842
La I O
2 1 2
direct
0.1597 0.1597 0.0000
0.8403 0.8403 0.0000
0.5000 0.5000 0.0000
0.2500 0.7500 0.5000
0.7500 0.2500 0.5000
```

The value obtained for the spin magnetization is 1.00 μB/f.u. Its density is 6.6 g cm⁻³. As for the space group: I4/mmm, No. 139. As for the uncorrected formation energy: -15.34 eV per formula unit.